The following is a PBE with a Hubbard U calculation of a relaxed Mn4Co6F19 crystal, from the Alexandria database.

Output
Symmetry ... No. 197
Energy ... -4.88 eV per atom
Density of states at the Fermi level ... 4.522 states/eV/f.u.

abc: 7.686 7.686 7.686
angles: 109.47 109.47 109.47
Element x y z (fractional)
F 0.688 0.688 0.000
F 0.603 0.377 0.348
Co 0.500 0.165 0.665
Co 0.665 0.500 0.165
Mn 0.000 0.709 0.000
Mn 0.709 0.000 0.000
Co 0.165 0.665 0.500
F 0.774 0.397 0.744
F 0.000 0.000 0.000
F 0.000 0.688 0.688
F 0.312 0.312 0.000
F 0.226 0.970 0.623
F 0.312 0.000 0.312
F 0.397 0.744 0.774
Mn 0.291 0.291 0.291
F 0.623 0.226 0.970
F 0.256 0.652 0.030
F 0.744 0.774 0.397
F 0.000 0.312 0.312
F 0.377 0.348 0.603
Mn 0.000 0.000 0.709
Co 0.500 0.835 0.335
F 0.652 0.030 0.256
Co 0.335 0.500 0.835
Co 0.835 0.335 0.500
F 0.970 0.623 0.226
F 0.030 0.256 0.652
F 0.688 0.000 0.688
F 0.348 0.603 0.377